No. 1
Density functional theory data (GGA-PBE) for Ca8BiPd2 after structural relaxation.

a b c (Å): 9.2842 13.6822 5.7270
angles (deg): 90.00 103.99 90.00
Space group Cm (No. 8)
One atom of each set of equivalent atoms:
Ca 0.0000 0.0000 0.0000 [2 per cell]
Ca 0.0807 0.3662 0.7847 [4 per cell]
Ca 0.1830 0.1338 0.6157 [4 per cell]
Ca 0.2639 0.5000 0.4003 [2 per cell]
Ca 0.3820 0.2444 0.2001 [4 per cell]
Bi 0.3818 0.0000 0.1993 [2 per cell]
Pd 0.3819 0.3151 0.7001 [4 per cell]

Calculated values
Energy of formation: -43.78 kJ per mole of atoms
Density: 3.5 g/cm³
DOS at the Fermi energy: 7.323 states/eV/f.u.



No. 2
Density functional theory data (GGA-PBE) for Sr2PdPbO5 after structural relaxation.

a b c (Å): 3.5071 14.1108 11.1250
angles (deg): 90.00 90.00 90.00
Space group Cmc2_1 (No. 36)
One atom of each set of equivalent atoms:
Sr 0.0000 0.0917 0.0000 [4 per cell]
Sr 0.0000 0.1374 0.6262 [4 per cell]
Pd 0.0000 0.4720 0.7692 [4 per cell]
Pb 0.0000 0.2158 0.3459 [4 per cell]
O 0.0000 0.0602 0.3831 [4 per cell]
O 0.0000 0.2697 0.9845 [4 per cell]
O 0.0000 0.3276 0.7145 [4 per cell]
O 0.0000 0.3788 0.3132 [4 per cell]
O 0.0000 0.4880 0.0935 [4 per cell]

Calculated values
Density: 6.9 g/cm³
DOS at the Fermi energy: 4.302 states/eV/f.u.
Raw formation energy: -1540 meV per atom



No. 3
Density functional theory data (GGA-PBE) for ZnSiMo2 after structural relaxation.

a b c (Å): 9.3944 2.7769 4.6084
angles (deg): 90.00 104.46 90.00
Space group Cm (No. 8)
One atom of each set of equivalent atoms:
Zn 0.0000 0.0000 0.0000 [2 per cell]
Si 0.2719 0.0000 0.6923 [2 per cell]
Mo 0.0276 0.5000 0.5165 [2 per cell]
Mo 0.2516 0.5000 0.1773 [2 per cell]

Calculated values
Density: 8.1 g/cm³
DOS at the Fermi energy: 2.336 states/eV/f.u.
Relative energy among the computed polymorphs: 0.093 eV per atom
Raw formation energy: 59 meV per atom



No. 4
Density functional theory data (GGA-PBE) for Gd4Cd2H after structural relaxation.

a b c (Å): 4.7461 4.7461 16.2204
angles (deg): 90.00 90.00 90.00
Space group I4/mmm (No. 139)
One atom of each set of equivalent atoms:
Gd 0.0000 0.0000 0.1778 [4 per cell]
Gd 0.0000 0.5000 0.0000 [4 per cell]
Cd 0.0000 0.0000 0.3673 [4 per cell]
H 0.0000 0.0000 0.0000 [2 per cell]

Calculated values
Density: 7.8 g/cm³
E_tot: -0.6608 Ry/atom
DOS at the Fermi energy: 10.430 states/eV/f.u.



No. 5
Density functional theory data (GGA-PBE) for HfMgTlAg after structural relaxation.

a b c (Å): 6.9399 6.9399 6.9399
angles (deg): 90.00 90.00 90.00
Space group F-43m (No. 216)
One atom of each set of equivalent atoms:
Hf 0.0000 0.0000 0.0000 [4 per cell]
Mg 0.0000 0.0000 0.5000 [4 per cell]
Tl 0.2500 0.2500 0.7500 [4 per cell]
Ag 0.2500 0.2500 0.2500 [4 per cell]

Calculated values
Energy of formation: 4.84 kJ per mole of atoms
Density: 10.2 g/cm³
DOS at the Fermi energy: 0.850 states/eV/f.u.



No. 6
Density functional theory data (GGA-PBE) for CsCa2SN after structural relaxation.

a b c (Å): 5.7806 5.7806 4.3535
angles (deg): 90.00 90.00 90.00
Space group P4/mmm (No. 123)
One atom of each set of equivalent atoms:
Cs 0.0000 0.0000 0.0000 [1 per cell]
Ca 0.0000 0.5000 0.0000 [2 per cell]
S 0.5000 0.5000 0.5000 [1 per cell]
N 0.0000 0.0000 0.5000 [1 per cell]

Calculated values
Density: 3.0 g/cm³
DOS at the Fermi energy: 2.722 states/eV/f.u.
Raw formation energy: 928 meV per atom



No. 7
Density functional theory data (GGA-PBE) for La2TbPr3Dy6 after structural relaxation.

a b c (Å): 6.2913 10.8966 11.9013
angles (deg): 90.00 100.12 90.00
Space group C2/m (No. 12)
One atom of each set of equivalent atoms:
La 0.0000 0.1663 0.0000 [4 per cell]
Tb 0.0000 0.5000 0.0000 [2 per cell]
Pr 0.0000 0.0000 0.5000 [2 per cell]
Pr 0.0000 0.3333 0.5000 [4 per cell]
Dy 0.2487 0.5000 0.7500 [4 per cell]
Dy 0.2504 0.1662 0.7502 [8 per cell]

Calculated values
Energy of formation: 1.35 kJ per mole of atoms
Density: 7.6 g/cm³
DOS at the Fermi energy: 13.968 states/eV/f.u.



No. 8
Density functional theory data (GGA-PBE) for Y2GeI after structural relaxation.

a b c (Å): 7.4654 7.4654 7.4654
angles (deg): 90.00 90.00 90.00
Space group Fm-3m (No. 225)
One atom of each set of equivalent atoms:
Y 0.2500 0.2500 0.2500 [8 per cell]
Ge 0.0000 0.0000 0.0000 [4 per cell]
I 0.0000 0.0000 0.5000 [4 per cell]

Calculated values
Density: 6.0 g/cm³
DOS at the Fermi energy: 4.557 states/eV/f.u.
Relative energy among the computed polymorphs: 0.365 eV per atom
Raw formation energy: -609 meV per atom



No. 9
Density functional theory data (GGA-PBE) for GaFe3Cl after structural relaxation.

a b c (Å): 4.1612 4.1612 4.1612
angles (deg): 90.00 90.00 90.00
Space group Pm-3m (No. 221)
One atom of each set of equivalent atoms:
Ga 0.0000 0.0000 0.0000 [1 per cell]
Fe 0.0000 0.5000 0.5000 [3 per cell]
Cl 0.5000 0.5000 0.5000 [1 per cell]

Calculated values
Density: 6.3 g/cm³
DOS at the Fermi energy: 2.182 states/eV/f.u.
Relative energy among the computed polymorphs: 0.000 eV per atom
Raw formation energy: 694 meV per atom



No. 10
Density functional theory data (GGA-PBE) for Tb4TmTl5 after structural relaxation.

a b c (Å): 3.7619 3.7619 19.3598
angles (deg): 90.00 90.00 90.00
Space group P4/mmm (No. 123)
One atom of each set of equivalent atoms:
Tb 0.0000 0.0000 0.1008 [2 per cell]
Tb 0.0000 0.0000 0.3026 [2 per cell]
Tm 0.0000 0.0000 0.5000 [1 per cell]
Tl 0.5000 0.5000 0.0000 [1 per cell]
Tl 0.5000 0.5000 0.2018 [2 per cell]
Tl 0.5000 0.5000 0.4035 [2 per cell]

Calculated values
Energy of formation: -33.03 kJ per mole of atoms
Density: 11.1 g/cm³
DOS at the Fermi energy: 8.149 states/eV/f.u.



No. 11
Density functional theory data (GGA-PBE) for Sr3ZnGa after structural relaxation.

a b c (Å): 6.1654 6.1654 6.1654
angles (deg): 90.00 90.00 90.00
Space group Pm-3m (No. 221)
One atom of each set of equivalent atoms:
Sr 0.0000 0.0000 0.5000 [3 per cell]
Zn 0.5000 0.5000 0.5000 [1 per cell]
Ga 0.0000 0.0000 0.0000 [1 per cell]

Calculated values
Energy of formation: 8.43 kJ per mole of atoms
Density: 2.8 g/cm³
DOS at the Fermi energy: 9.686 states/eV/f.u.
Relative energy among the computed polymorphs: 0.332 eV per atom



No. 12
Density functional theory data (GGA-PBE) for Zr2CdRh after structural relaxation.

a b c (Å): 4.5139 3.2854 10.9805
angles (deg): 90.00 90.00 90.00
Space group Amm2 (No. 38)
One atom of each set of equivalent atoms:
Zr 0.0000 0.0000 0.0000 [2 per cell]
Zr 0.5000 0.0000 0.3230 [2 per cell]
Cd 0.5000 0.0000 0.5961 [2 per cell]
Rh 0.0000 0.0000 0.7642 [2 per cell]

Calculated values
Energy of formation: -30.47 kJ per mole of atoms
Density: 8.1 g/cm³
DOS at the Fermi energy: 3.683 states/eV/f.u.



No. 13
Density functional theory data (GGA-PBE) for FeCo after structural relaxation.

a b c (Å): 9.0131 2.8112 5.7226
angles (deg): 90.00 108.38 90.00
Space group Cm (No. 8)
One atom of each set of equivalent atoms:
Fe 0.0000 0.0000 0.0000 [2 per cell]
Fe 0.9995 0.0000 0.4982 [2 per cell]
Fe 0.1692 0.5000 0.8335 [2 per cell]
Co 0.1640 0.5000 0.3314 [2 per cell]
Co 0.3346 0.0000 0.1664 [2 per cell]
Co 0.3353 0.0000 0.6669 [2 per cell]

Calculated values
Energy of formation: -1.93 kJ per mole of atoms
Density: 8.3 g/cm³
DOS at the Fermi energy: 1.555 states/eV/f.u.



No. 14
Density functional theory data (GGA-PBE) for CrNiOs2 after structural relaxation.

a b c (Å): 5.9082 5.9082 5.9082
angles (deg): 90.00 90.00 90.00
Space group Fm-3m (No. 225)
One atom of each set of equivalent atoms:
Cr 0.0000 0.0000 0.0000 [4 per cell]
Ni 0.0000 0.0000 0.5000 [4 per cell]
Os 0.2500 0.2500 0.2500 [8 per cell]

Calculated values
Energy of formation: 21.80 kJ per mole of atoms
Density: 15.8 g/cm³
DOS at the Fermi energy: 4.545 states/eV/f.u.
Relative energy among the computed polymorphs: 0.153 eV per atom



No. 15
Density functional theory data (GGA-PBE) for K2TlNiH6 after structural relaxation.

a b c (Å): 5.5078 5.5078 6.9087
angles (deg): 90.00 90.00 120.00
Space group P-3m1 (No. 164)
One atom of each set of equivalent atoms:
K 0.3333 0.6667 0.1657 [2 per cell]
Tl 0.0000 0.0000 0.5000 [1 per cell]
Ni 0.0000 0.0000 0.0000 [1 per cell]
H 0.1296 0.2591 0.8697 [6 per cell]

Calculated values
Density: 3.2 g/cm³
E_tot: -0.2297 Ry/atom
DOS at the Fermi energy: 1.451 states/eV/f.u.



No. 16
Density functional theory data (GGA-PBE) for K2CaBr after structural relaxation.

a b c (Å): 14.9071 4.0618 7.3476
angles (deg): 90.00 119.47 90.00
Space group Cm (No. 8)
One atom of each set of equivalent atoms:
K 0.0000 0.0000 0.0000 [2 per cell]
K 0.1751 0.0000 0.6791 [2 per cell]
Ca 0.3721 0.0000 0.3820 [2 per cell]
Br 0.2135 0.5000 0.0999 [2 per cell]

Calculated values
Density: 1.7 g/cm³
DOS at the Fermi energy: 2.208 states/eV/f.u.
Relative energy among the computed polymorphs: 0.087 eV per atom
Raw formation energy: -644 meV per atom



No. 17
Density functional theory data (GGA-PBE) for Ti2FeAu after structural relaxation.

a b c (Å): 4.3455 4.3455 3.3106
angles (deg): 90.00 90.00 90.00
Space group P4/mmm (No. 123)
One atom of each set of equivalent atoms:
Ti 0.0000 0.5000 0.0000 [2 per cell]
Fe 0.0000 0.0000 0.5000 [1 per cell]
Au 0.5000 0.5000 0.5000 [1 per cell]

Calculated values
Energy of formation: -22.00 kJ per mole of atoms
Density: 9.3 g/cm³
DOS at the Fermi energy: 4.024 states/eV/f.u.



No. 18
Density functional theory data (GGA-PBE) for TaTi2Re after structural relaxation.

a b c (Å): 7.2118 7.2118 5.4191
angles (deg): 90.00 90.00 90.00
Space group I-42d (No. 122)
One atom of each set of equivalent atoms:
Ta 0.0000 0.0000 0.0000 [4 per cell]
Ti 0.2227 0.2500 0.6250 [8 per cell]
Re 0.0000 0.0000 0.5000 [4 per cell]

Calculated values
Energy of formation: 40.74 kJ per mole of atoms
Density: 10.9 g/cm³
DOS at the Fermi energy: 3.242 states/eV/f.u.



No. 19
Density functional theory data (GGA-PBE) for Th2AgP3Rh12 after structural relaxation.

a b c (Å): 8.7326 8.7326 13.8795
angles (deg): 90.00 90.00 120.00
Space group R-3m (No. 166, hexagonal axes)
One atom of each set of equivalent atoms:
Th 0.0000 0.0000 0.1165 [6 per cell]
Ag 0.0000 0.0000 0.5000 [3 per cell]
P 0.0000 0.5000 0.0000 [9 per cell]
Rh 0.0161 0.5080 0.8388 [18 per cell]
Rh 0.0406 0.5203 0.3672 [18 per cell]

Calculated values
Energy of formation: -28.24 kJ per mole of atoms
Density: 10.3 g/cm³
DOS at the Fermi energy: 15.284 states/eV/f.u.



No. 20
Density functional theory data (GGA-PBE) for LaPr2Pt after structural relaxation.

a b c (Å): 3.8675 3.8675 32.7482
angles (deg): 90.00 90.00 120.00
Space group R-3m (No. 166, hexagonal axes)
One atom of each set of equivalent atoms:
La 0.0000 0.0000 0.0000 [3 per cell]
Pr 0.0000 0.0000 0.1102 [6 per cell]
Pt 0.0000 0.0000 0.5000 [3 per cell]

Calculated values
Energy of formation: -27.71 kJ per mole of atoms
Density: 7.2 g/cm³
DOS at the Fermi energy: 6.487 states/eV/f.u.
Relative energy among the computed polymorphs: 0.336 eV per atom